{"formula": "GaAgGe2S6", "functional": "PBE", "state": "relaxed", "sg": "No. 15", "volume_a3_per_cell": 488, "formation_energy_uncorrected_ev_per_atom": -0.29, "final_energy_ev_per_atom": -4.275, "total_magnetization_mub_per_fu": 0.00, "lattice_angstrom": [[6.693, 0.315, 0.327], [2.537, 8.664, 0.176], [2.537, -0.146, 8.664]], "species": ["S", "Ag", "S", "S", "S", "Ge", "Ag", "S", "Ga", "S", "S", "S", "S", "Ge", "S", "S", "S", "Ge", "Ga", "Ge"], "fractional_positions": [[0.605, 0.816, 0.986], [0.750, 0.228, 0.772], [0.567, 0.589, 0.695], [0.395, 0.184, 0.014], [0.895, 0.014, 0.184], [0.814, 0.634, 0.797], [0.250, 0.772, 0.228], [0.409, 0.890, 0.387], [0.250, 0.189, 0.811], [0.091, 0.613, 0.110], [0.105, 0.986, 0.816], [0.067, 0.695, 0.589], [0.933, 0.305, 0.411], [0.186, 0.366, 0.203], [0.591, 0.110, 0.613], [0.433, 0.411, 0.305], [0.909, 0.387, 0.890], [0.686, 0.203, 0.366], [0.750, 0.811, 0.189], [0.314, 0.797, 0.634]]}



{"formula": "LiInC3", "functional": "PBE", "state": "relaxed", "sg": "No. 221", "e_form_ev_per_atom": 2.861, "volume_a3_per_cell": 85, "final_energy_ev_per_atom": -3.604, "n_ef_per_ev_cell": 4.07, "total_magnetization_mub_per_fu": 0.00, "lattice_angstrom": [[-2.181, 1.991, -3.253], [2.444, -2.148, -2.953], [-2.929, -3.275, -0.041]], "species": ["Li", "C", "C", "C", "In"], "fractional_positions": [[0.500, 0.500, 0.500], [0.000, 0.000, 0.500], [0.000, 0.500, 0.000], [0.500, 0.000, 0.000], [0.000, 0.000, 0.000]]}